[1]
Material: CaRe2As
Method: DFT, PBE
State: optimized geometry

a = 3.2992 Å, b = 4.3011 Å, c = 4.9733 Å
α = 90.00°, β = 90.00°, γ = 90.00°
Sites, in units of the cell vectors:
Ca 0.0000 0.0000 0.0000
Re 0.0000 0.5000 0.5000
Re 0.5000 0.0000 0.5000
As 0.5000 0.5000 0.0000

## Properties
Crystal system ... orthorhombic
Raw total energy ... -7.370 eV per atom
Mass density ... 11.47 g/cm3
Calculated formation energy ... 0.52 eV/atom

[2]
Material: MnGaCoSe2
Method: DFT, PBE
State: optimized geometry

a = 5.4778 Å, b = 3.2840 Å, c = 5.5320 Å
α = 90.00°, β = 115.23°, γ = 90.00°
Sites, in units of the cell vectors:
Mn 0.0000 0.0000 0.0000
Ga 0.5572 0.0000 0.0709
Co 0.3774 0.5000 0.3007
Se 0.2024 0.0000 0.4739
Se 0.7992 0.5000 0.6631

## Properties
Crystal system ... monoclinic
Distance to the lowest polymorph of the same formula ... 0.32 eV per formula unit
Raw total energy ... -5.392 eV per atom
Mass density ... 6.30 g/cm3

[3]
Material: CuTeN
Method: DFT, PBE
State: optimized geometry

a = 4.8367 Å, b = 4.4941 Å, c = 4.9467 Å
α = 90.00°, β = 104.66°, γ = 90.00°
Sites, in units of the cell vectors:
Cu 0.1367 0.0000 0.4805
Cu 0.8633 0.5000 0.5195
Te 0.3025 0.6140 0.1206
Te 0.6975 0.1140 0.8794
N 0.0097 0.8177 0.7839
N 0.9903 0.3177 0.2161

## Properties
Crystal system ... monoclinic
Distance to the lowest polymorph of the same formula ... 0.09 eV per formula unit
Raw total energy ... -4.667 eV per atom
Mass density ... 6.55 g/cm3

[4]
Material: Ca4LaHg2
Method: DFT, PBE
State: optimized geometry

a = 8.6609 Å, b = 6.8106 Å, c = 8.7150 Å
α = 90.00°, β = 111.57°, γ = 90.00°
Sites, in units of the cell vectors:
Ca 0.0175 0.2500 0.3931
Ca 0.2565 0.7500 0.3485
Ca 0.4181 0.0020 0.7717
Ca 0.4181 0.4980 0.7717
Ca 0.5819 0.5020 0.2283
Ca 0.5819 0.9980 0.2283
Ca 0.7435 0.2500 0.6515
Ca 0.9825 0.7500 0.6069
La 0.1382 0.2500 0.0069
La 0.8618 0.7500 0.9931
Hg 0.2423 0.7500 0.9820
Hg 0.3750 0.2500 0.4068
Hg 0.6250 0.7500 0.5932
Hg 0.7577 0.2500 0.0180

## Properties
Crystal system ... monoclinic
Raw total energy ... -2.196 eV per atom
Mass density ... 4.87 g/cm3
Calculated formation energy ... -0.26 eV/atom

- Among the records above, which one has the highest mass density?
  CaRe2As